! RbBBr2, relaxed, DFT PBE; values from VASP
! Energy above the most stable polymorph in this dataset ... 0.130 eV per atom
&SYSTEM
  ibrav = 0, nat = 4, ntyp = 3
/
ATOMIC_SPECIES
B 10.81 B.upf
Br 79.90 Br.upf
Rb 85.47 Rb.upf
ATOMIC_POSITIONS crystal
B 0.0000 0.0000 0.0000
Br 0.9033 0.9033 0.9033
Br 0.0967 0.0967 0.0967
Rb 0.5000 0.5000 0.5000
CELL_PARAMETERS angstrom
7.7755 -3.6675 2.4649
8.6121 -1.1685 -2.1099
8.4707 1.5657 2.4043

! RbBBr2, relaxed, DFT PBE; values from VASP
! Energy above the most stable polymorph in this dataset ... 0.371 eV per atom
&SYSTEM
  ibrav = 0, nat = 4, ntyp = 3
/
ATOMIC_SPECIES
B 10.81 B.upf
Br 79.90 Br.upf
Rb 85.47 Rb.upf
ATOMIC_POSITIONS crystal
B 0.5000 0.5000 0.5000
Br 0.8855 0.8855 0.8855
Br 0.1145 0.1145 0.1145
Rb 0.0000 0.0000 0.0000
CELL_PARAMETERS angstrom
2.5235 0.0000 8.9946
-1.2617 2.1854 8.9946
-1.2617 -2.1854 8.9946

Density functional theory data (PBE) for a relaxed RbBBr crystal. Values from VASP.

Quantum ESPRESSO input file:
```
&SYSTEM
  ibrav = 0, nat = 6, ntyp = 3
/
ATOMIC_SPECIES
Rb 85.47 Rb.upf
B 10.81 B.upf
Br 79.90 Br.upf
ATOMIC_POSITIONS crystal
Rb 0.0737 0.1474 0.7424
Rb 0.9263 0.8526 0.2576
B 0.2459 0.4919 0.4766
B 0.7541 0.5081 0.5234
Br 0.1766 0.3531 0.1839
Br 0.8234 0.6469 0.8161
CELL_PARAMETERS angstrom
3.3986 0.0000 0.0000
-1.6993 5.9058 -0.3213
0.0000 -2.4788 8.0256
```

Number 1: total magnetization 0.0 μB per formula unit, total energy -10.527 eV per cell, ΔE_f (raw) 116.0 meV/atom. Number 2: total magnetization 0.0 μB per formula unit, total energy -9.562 eV per cell, ΔE_f (raw) 357.2 meV/atom. Number 3: total magnetization 0.0 μB per formula unit, total energy -20.641 eV per cell, ΔE_f (raw) -334.2 meV/atom.